# BaLaEuWO6

An optimized crystal structure of BaLaEuWO6 (GGA+U, Alexandria).

Cell lengths 6.1420, 6.1420, 6.1420 Å; angles 60.00, 60.00, 60.00 degrees
Last column: nearest neighbours and their distance in Å.
Atoms (fractional coordinates):
O (0.7297, 0.2703, 0.7297)  1 W 1.99
O (0.2703, 0.7297, 0.2703)  1 W 1.99
O (0.2703, 0.7297, 0.7297)  1 W 1.99
O (0.7297, 0.2703, 0.2703)  1 W 1.99
O (0.2703, 0.2703, 0.7297)  1 W 1.99
O (0.7297, 0.7297, 0.2703)  1 W 1.99
La (0.0000, 0.0000, 0.0000)  6 O 2.35
Eu (0.2500, 0.2500, 0.2500)  12 O 3.08
W (0.5000, 0.5000, 0.5000)  6 O 1.99
Ba (0.7500, 0.7500, 0.7500)  12 O 3.08

Total DFT energy (no corrections): -8.0435 eV per atom
ρ: 7.2 g/cm3
Space group: F-43m
M_tot: 8.00 μB/f.u.